Below is crystalline ErGa2Cu at its relaxed geometry, with properties calculated at the PBE-GGA level.

The structure in POSCAR format:
```
ErGa2Cu
1.0
4.1126 0.0000 0.0000
0.0000 3.8867 -0.3334
0.0000 -1.1569 9.2691
Ga Er Cu
4 2 2
Cartesian
3.0845 2.3402 4.4261
1.0282 0.3895 4.5097
3.0845 0.0665 0.6639
1.0282 2.6633 8.2718
3.0845 0.6155 7.1333
1.0282 2.1143 1.8024
3.0845 0.2633 3.0434
1.0282 2.4665 5.8924
```

## Properties
* symmetry: No. 11
* formation energy from the elements: -0.507 eV per atom
* total moment: 0.0 μB/f.u.
* mass density: 8.389 g/cm³
* VASP energy: -4.19 eV per atom